The following is a DFT calculation (GGA-PBE) of a relaxed Pm6AgGe2 crystal.

Structure (CIF):
```
data_Pm6AgGe2
_cell_length_a 16.1282
_cell_length_b 7.2390
_cell_length_c 4.9532
_cell_angle_alpha 90.00
_cell_angle_beta 107.80
_cell_angle_gamma 90.00
_symmetry_space_group_name_H-M 'C 1 2/m 1'
_symmetry_Int_Tables_number 12
_symmetry_space_group_name_Hall '-C 2y'
loop_
_atom_site_label
_atom_site_type_symbol
_atom_site_fract_x
_atom_site_fract_y
_atom_site_fract_z
Pm1 Pm 0.0000 0.2431 0.0000
Pm2 Pm 0.1676 0.2515 0.6680
Ag1 Ag 0.0000 0.5000 0.5000
Ge1 Ge 0.1680 0.0000 0.1686
```

Summary:
E	-4.81	eV per atom
DOS(E_F)	27.2	states/eV per cell
E_form	-0.30	eV per atom